No. 1
Material: BaAlTe2
Method: DFT, SCAN
State: single point on PBEsol structure

The space group is R-3m (No. 166, hexagonal axes) and the conventional cell measures 4.1200, 4.1200 and 29.1565 Å, with angles of 90.00, 90.00 and 120.00 degrees. The inequivalent atoms are Ba at (0.0000, 0.0000, 0.0000), Al at (0.0000, 0.0000, 0.5000) and Te at (0.0000, 0.0000, 0.1148).

The crystal system is trigonal. The value obtained for the total magnetization is 0.79 μB/f.u. The value obtained for the raw formation energy is -0.514 eV/atom. The total energy comes out at -30.9646 eV per atom.



No. 2
Material: BaTiAl3
Method: DFT, SCAN
State: single point on PBEsol structure

The space group is Pm-3m (No. 221) and the conventional cell measures 5.4916, 5.4916 and 5.4916 Å, with angles of 90.00, 90.00 and 90.00 degrees. The inequivalent atoms are Ba at (0.0000, 0.0000, 0.0000), Ti at (0.5000, 0.5000, 0.5000) and Al at (0.0000, 0.0000, 0.5000).

The crystal system is cubic. The value obtained for the total magnetization is 2.09 μB/f.u. The value obtained for the formation energy is 1.82 eV/atom. The total energy comes out at -13.9519 eV per atom.



No. 3
Material: BaTiAl2
Method: DFT, SCAN
State: single point on PBEsol structure

The space group is I4_1/amd (No. 141, origin choice 2) and the conventional cell measures 5.1612, 5.1612 and 18.7465 Å, with angles of 90.00, 90.00 and 90.00 degrees. The inequivalent atoms are Ba at (0.0000, 0.2500, 0.3750), Ti at (0.0000, 0.2500, 0.8750) and Al at (0.0000, 0.0000, 0.0000).

The crystal system is tetragonal. The value obtained for the total magnetization is 3.18 μB/f.u. The value obtained for the formation energy is 0.32 eV/atom. The total energy comes out at -17.4463 eV per atom.



No. 4
Material: Ba2TiAl
Method: DFT, SCAN
State: single point on PBEsol structure

The space group is I-42d (No. 122) and the conventional cell measures 9.0216, 9.0216 and 6.3167 Å, with angles of 90.00, 90.00 and 90.00 degrees. The inequivalent atoms are Ba at (0.2407, 0.7500, 0.1250), Ti at (0.0000, 0.0000, 0.0000) and Al at (0.0000, 0.0000, 0.5000).

The crystal system is tetragonal. The value obtained for the total magnetization is 2.69 μB/f.u. The value obtained for the formation energy is 0.67 eV/atom. The total energy comes out at -25.0481 eV per atom.



No. 5
Material: BaAl2Tl
Method: DFT, SCAN
State: single point on PBEsol structure

The space group is I4_1/amd (No. 141, origin choice 2) and the conventional cell measures 5.1792, 5.1792 and 19.2553 Å, with angles of 90.00, 90.00 and 90.00 degrees. The inequivalent atoms are Ba at (0.0000, 0.2500, 0.3750), Al at (0.0000, 0.0000, 0.0000) and Tl at (0.0000, 0.2500, 0.8750).

The crystal system is tetragonal. The value obtained for the total magnetization is 0.00 μB/f.u. The value obtained for the formation energy is -0.11 eV/atom. The calculation puts the energy relative to the lowest polymorph listed for this composition at 0.0136 eV per atom. The total energy comes out at -31.9662 eV per atom.



No. 6
Material: BaAlTl2
Method: DFT, SCAN
State: single point on PBEsol structure

The space group is P2/m (No. 10) and the conventional cell measures 3.6217, 4.6894 and 7.0415 Å, with angles of 90.00, 101.53 and 90.00 degrees. The inequivalent atoms are Ba at (0.0000, 0.0000, 0.0000), Al at (0.5000, 0.0000, 0.5000) and Tl at (0.3352, 0.5000, 0.7034).

The crystal system is monoclinic. The value obtained for the total magnetization is 0.00 μB/f.u. The value obtained for the formation energy is -0.21 eV/atom. The total energy comes out at -48.2143 eV per atom.



No. 7
Material: BaAl2Tl
Method: DFT, SCAN
State: single point on PBEsol structure

The space group is P4mm (No. 99) and the conventional cell measures 3.6683, 3.6683 and 7.7361 Å, with angles of 90.00, 90.00 and 90.00 degrees. The inequivalent atoms are Ba at (0.0000, 0.0000, 0.0000), Al at (0.0000, 0.0000, 0.5390), Al at (0.5000, 0.5000, 0.6939) and Tl at (0.5000, 0.5000, 0.3190).

The crystal system is tetragonal. The value obtained for the total magnetization is 0.00 μB/f.u. The value obtained for the formation energy is -0.13 eV/atom. The calculation puts the energy relative to the lowest polymorph listed for this composition at 0.0000 eV per atom. The total energy comes out at -31.9798 eV per atom.



No. 8
Material: BaAlTl4
Method: DFT, SCAN
State: single point on PBEsol structure

The space group is F-43m (No. 216) and the conventional cell measures 8.9647, 8.9647 and 8.9647 Å, with angles of 90.00, 90.00 and 90.00 degrees. The inequivalent atoms are Ba at (0.0000, 0.0000, 0.0000), Al at (0.2500, 0.2500, 0.7500) and Tl at (0.1241, 0.1241, 0.3759).

The crystal system is cubic. The value obtained for the total magnetization is 0.00 μB/f.u. The value obtained for the formation energy is 0.00 eV/atom. The total energy comes out at -56.1224 eV per atom.



No. 9
Material: BaAlTl
Method: DFT, SCAN
State: single point on PBEsol structure

The space group is P-6m2 (No. 187) and the conventional cell measures 4.6797, 4.6797 and 5.1442 Å, with angles of 90.00, 90.00 and 120.00 degrees. The inequivalent atoms are Ba at (0.0000, 0.0000, 0.0000), Al at (0.6667, 0.3333, 0.5000) and Tl at (0.3333, 0.6667, 0.5000).

The crystal system is hexagonal. The value obtained for the total magnetization is 0.08 μB/f.u. The value obtained for the formation energy is -0.42 eV/atom. The total energy comes out at -40.3031 eV per atom.



No. 10
Material: BaAl4W
Method: DFT, SCAN
State: single point on PBEsol structure

The space group is F-43m (No. 216) and the conventional cell measures 7.7104, 7.7104 and 7.7104 Å, with angles of 90.00, 90.00 and 90.00 degrees. The inequivalent atoms are Ba at (0.0000, 0.0000, 0.0000), Al at (0.1239, 0.1239, 0.6239) and W at (0.2500, 0.2500, 0.2500).

The crystal system is cubic. The value obtained for the total magnetization is 0.00 μB/f.u. The value obtained for the formation energy is 0.46 eV/atom. The total energy comes out at -22.9164 eV per atom.



No. 11
Material: BaAl3W
Method: DFT, SCAN
State: single point on PBEsol structure

The space group is Pm-3m (No. 221) and the conventional cell measures 5.3472, 5.3472 and 5.3472 Å, with angles of 90.00, 90.00 and 90.00 degrees. The inequivalent atoms are Ba at (0.0000, 0.0000, 0.0000), Al at (0.0000, 0.0000, 0.5000) and W at (0.5000, 0.5000, 0.5000).

The crystal system is cubic. The value obtained for the total magnetization is 4.35 μB/f.u. The value obtained for the formation energy is 2.72 eV/atom. The total energy comes out at -23.7749 eV per atom.



No. 12
Material: BaAl2W
Method: DFT, SCAN
State: single point on PBEsol structure

The space group is I4_1/amd (No. 141, origin choice 2) and the conventional cell measures 5.1528, 5.1528 and 17.6244 Å, with angles of 90.00, 90.00 and 90.00 degrees. The inequivalent atoms are Ba at (0.0000, 0.2500, 0.3750), Al at (0.0000, 0.0000, 0.0000) and W at (0.0000, 0.2500, 0.8750).

The crystal system is tetragonal. The value obtained for the total magnetization is 2.03 μB/f.u. The value obtained for the formation energy is 0.78 eV/atom. The total energy comes out at -30.4024 eV per atom.



No. 13
Material: Ba3AlW
Method: DFT, SCAN
State: single point on PBEsol structure

The space group is Pm-3m (No. 221) and the conventional cell measures 6.2742, 6.2742 and 6.2742 Å, with angles of 90.00, 90.00 and 90.00 degrees. The inequivalent atoms are Ba at (0.0000, 0.0000, 0.5000), Al at (0.0000, 0.0000, 0.0000) and W at (0.5000, 0.5000, 0.5000).

The crystal system is cubic. The value obtained for the total magnetization is 5.54 μB/f.u. The value obtained for the formation energy is 1.38 eV/atom. The total energy comes out at -37.8338 eV per atom.



No. 14
Material: BaAlW
Method: DFT, SCAN
State: single point on PBEsol structure

The space group is Fmm2 (No. 42) and the conventional cell measures 4.0555, 4.3406 and 15.0043 Å, with angles of 90.00, 90.00 and 90.00 degrees. The inequivalent atoms are Ba at (0.0000, 0.0000, 0.0000), Al at (0.0000, 0.0000, 0.3091) and W at (0.0000, 0.0000, 0.6887).

The crystal system is orthorhombic. The value obtained for the total magnetization is 0.00 μB/f.u. The value obtained for the formation energy is 0.85 eV/atom. The total energy comes out at -38.1505 eV per atom.